Entry 1:
Computed, not measured: a relaxed LaSi2Te crystal at the GGA-PBE level of DFT.

Summary:
Calculated volume = 104 Å³/f.u.
Uncorrected energy = -4.5859 eV/atom
Raw formation energy = 0.6 eV per formula unit

POSCAR file:
```
LaSi2Te
1.0
-3.136 6.919 -2.782
-2.378 4.830 -6.038
-5.678 4.158 -3.989
Si La Te
2 1 1
Direct
0.992 0.992 0.992
0.508 0.508 0.508
0.750 0.750 0.750
0.250 0.250 0.250
```

Entry 2:
Computed, not measured: a relaxed Rb2BaAsF6 crystal at the GGA-PBE level of DFT.

Summary:
Calculated volume = 243 Å³/f.u.
Uncorrected energy = -4.5810 eV/atom
Raw formation energy = -26.1 eV per formula unit

POSCAR file:
```
Rb2BaAsF6
1.0
6.503 0.000 0.000
0.000 6.503 0.000
3.251 3.251 5.748
Ba Rb F As
1 2 6 1
Direct
0.000 0.000 0.000
0.250 0.750 0.500
0.750 0.250 0.500
0.723 0.723 0.000
0.277 0.723 0.000
0.277 0.277 0.000
0.780 0.780 0.441
0.723 0.277 0.000
0.220 0.220 0.559
0.500 0.500 0.000
```

Entry 3:
Computed, not measured: a relaxed HfPSe crystal at the GGA-PBE level of DFT.

Summary:
Calculated volume = 62 Å³/f.u.
Uncorrected energy = -7.3577 eV/atom
Raw formation energy = -3.2 eV per formula unit

POSCAR file:
```
HfPSe
1.0
3.564 0.000 0.000
0.000 3.564 0.000
0.000 0.000 9.769
Hf P Se
2 2 2
Direct
0.500 0.000 0.200
0.000 0.500 0.800
0.500 0.500 0.000
0.000 0.000 0.000
0.000 0.500 0.326
0.500 0.000 0.674
```

Entry 4:
Computed, not measured: a relaxed HgIr2W crystal at the GGA-PBE level of DFT.

Summary:
Calculated volume = 65 Å³/f.u.
Uncorrected energy = -7.4278 eV/atom
Formation energy = 0.316 eV/atom

POSCAR file:
```
HgIr2W
1.0
-0.284 -4.318 -2.461
-0.267 -4.961 0.317
-4.841 -0.621 -0.115
Ir W Hg
2 1 1
Direct
0.011 0.011 0.004
0.748 0.748 0.725
0.488 0.488 0.539
0.253 0.253 0.232
```